Record 1
Entry from the Alexandria database: a relaxed Tb5DyHo2Mg crystal (PBE).

Calculated values
formation energy from the elements: 0.102 eV per atom
V: 31.550 Å³/atom
D(E_F): 46.438 states/eV/cell
crystal system: orthorhombic

The structure in CIF format:
```
data_Tb5DyHo2Mg
_symmetry_space_group_name_H-M 'C m c 21'
_symmetry_Int_Tables_number 36
_cell_length_a 5.404
_cell_length_b 19.979
_cell_length_c 10.520
_cell_angle_alpha 90.00
_cell_angle_beta 90.00
_cell_angle_gamma 90.00
loop_
_symmetry_equiv_pos_as_xyz
'x,y,z'
'-x,-y,z+1/2'
'-x,y,z'
'x,-y,z+1/2'
'x+1/2,y+1/2,z'
'-x+1/2,-y+1/2,z+1/2'
'-x+1/2,y+1/2,z'
'x+1/2,-y+1/2,z+1/2'
loop_
_atom_site_label
_atom_site_fract_x
_atom_site_fract_y
_atom_site_fract_z
Tb1 0.000 0.000 0.000
Tb2 0.000 0.118 0.251
Tb3 0.000 0.210 0.550
Tb4 0.000 0.210 0.951
Tb5 0.000 0.486 0.250
Dy1 0.000 0.295 0.250
Ho1 0.000 0.386 0.538
Ho2 0.000 0.386 0.963
Mg1 0.000 0.095 0.749
```



Record 2
Entry from the Alexandria database: a relaxed YFe2Ru crystal (PBE).

Calculated values
formation energy from the elements: 0.212 eV per atom
V: 15.805 Å³/atom
D(E_F): 22.162 states/eV/cell
crystal system: cubic

The structure in CIF format:
```
data_YFe2Ru
_symmetry_space_group_name_H-M 'F m -3 m'
_symmetry_Int_Tables_number 225
_symmetry_space_group_name_Hall '-F 4 2 3'
_cell_length_a 6.324
_cell_length_b 6.324
_cell_length_c 6.324
_cell_angle_alpha 90.00
_cell_angle_beta 90.00
_cell_angle_gamma 90.00
loop_
_atom_site_label
_atom_site_fract_x
_atom_site_fract_y
_atom_site_fract_z
Y1 0.000 0.000 0.000
Fe1 0.250 0.250 0.250
Ru1 0.000 0.000 0.500
```



Record 3
Entry from the Alexandria database: a relaxed La2InHgRh crystal (PBE).

Calculated values
formation energy from the elements: -0.494 eV per atom
V: 30.969 Å³/atom
D(E_F): 5.682 states/eV/cell
crystal system: tetragonal

The structure in CIF format:
```
data_La2InHgRh
_symmetry_space_group_name_H-M 'P 4/m m m'
_symmetry_Int_Tables_number 123
_symmetry_space_group_name_Hall '-P 4 2'
_cell_length_a 5.467
_cell_length_b 5.467
_cell_length_c 5.181
_cell_angle_alpha 90.00
_cell_angle_beta 90.00
_cell_angle_gamma 90.00
loop_
_atom_site_label
_atom_site_fract_x
_atom_site_fract_y
_atom_site_fract_z
La1 0.000 0.500 0.000
In1 0.000 0.000 0.500
Hg1 0.500 0.500 0.500
Rh1 0.000 0.000 0.000
```